# 1
## Zr3ZnCd (PBE-GGA)

Data for crystalline Zr3ZnCd at its relaxed geometry.

a = 4.9885 Å, b = 4.9885 Å, c = 4.9885 Å
α = 90.00°, β = 90.00°, γ = 90.00°
Space group Pm-3m (No. 221)
One atom of each set of equivalent atoms:
Zr: 0.0000 0.0000 0.5000 x3
Zn: 0.0000 0.0000 0.0000 x1
Cd: 0.5000 0.5000 0.5000 x1

total magnetization	0.000	μB per atom
energy above the most stable polymorph in this dataset	0	meV per atom
calculated density	6039	kg/m³
energy relative to the elements	0.484	eV per atom
density of states at the Fermi level	2.8	states/eV/cell

***

# 2
## ZrZnCd2 (PBE-GGA)

Data for crystalline ZrZnCd2 at its relaxed geometry.

a = 3.1658 Å, b = 3.1658 Å, c = 7.9717 Å
α = 90.00°, β = 90.00°, γ = 90.00°
Space group P4/mmm (No. 123)
One atom of each set of equivalent atoms:
Zr: 0.0000 0.0000 0.0000 x1
Zn: 0.0000 0.0000 0.5000 x1
Cd: 0.5000 0.5000 0.2730 x2

total magnetization	0.000	μB per atom
calculated density	7928	kg/m³
energy relative to the elements	-0.058	eV per atom
density of states at the Fermi level	3.4	states/eV/cell

***

# 3
## ZrZnCd (PBE-GGA)

Data for crystalline ZrZnCd at its relaxed geometry.

a = 4.6359 Å, b = 4.6359 Å, c = 3.1430 Å
α = 90.00°, β = 90.00°, γ = 120.00°
Space group P3m1 (No. 156)
One atom of each set of equivalent atoms:
Zr: 0.0000 0.0000 0.0000 x1
Zn: 0.3333 0.6667 0.5015 x1
Cd: 0.6667 0.3333 0.4996 x1

total magnetization	0.000	μB per atom
calculated density	7637	kg/m³
energy relative to the elements	-0.135	eV per atom
density of states at the Fermi level	2.8	states/eV/cell

***

# 4
## ZrZnCd2 (PBE-GGA)

Data for crystalline ZrZnCd2 at its relaxed geometry.

a = 2.9098 Å, b = 5.4987 Å, c = 10.4327 Å
α = 90.00°, β = 90.00°, γ = 90.00°
Space group Imm2 (No. 44)
One atom of each set of equivalent atoms:
Zr: 0.0000 0.0000 0.0000 x2
Zn: 0.0000 0.5000 0.2574 x2
Cd: 0.0000 0.0000 0.5214 x2
Cd: 0.0000 0.5000 0.7648 x2

total magnetization	0.000	μB per atom
calculated density	7589	kg/m³
energy relative to the elements	0.038	eV per atom
density of states at the Fermi level	4.9	states/eV/cell

***

# 5
## ZrZn2Cd2 (PBE-GGA)

Data for crystalline ZrZn2Cd2 at its relaxed geometry.

a = 7.9574 Å, b = 7.9574 Å, c = 3.0110 Å
α = 90.00°, β = 90.00°, γ = 90.00°
Space group P4/mbm (No. 127)
One atom of each set of equivalent atoms:
Zr: 0.0000 0.0000 0.0000 x2
Zn: 0.1227 0.3773 0.0000 x4
Cd: 0.1760 0.6760 0.5000 x4

total magnetization	0.000	μB per atom
energy above the most stable polymorph in this dataset	15	meV per atom
calculated density	7784	kg/m³
energy relative to the elements	0.012	eV per atom
density of states at the Fermi level	6.1	states/eV/cell

***

# 6
## ZrZnCd2 (PBE-GGA)

Data for crystalline ZrZnCd2 at its relaxed geometry.

a = 3.1251 Å, b = 3.1251 Å, c = 29.4834 Å
α = 90.00°, β = 90.00°, γ = 120.00°
Space group R-3m (No. 166, hexagonal axes)
One atom of each set of equivalent atoms:
Zr: 0.0000 0.0000 0.0000 x3
Zn: 0.0000 0.0000 0.5000 x3
Cd: 0.0000 0.0000 0.2445 x6

total magnetization	0.000	μB per atom
calculated density	7621	kg/m³
energy relative to the elements	0.061	eV per atom
density of states at the Fermi level	11.8	states/eV/cell

***

# 7
## ZrZnCd4 (PBE-GGA)

Data for crystalline ZrZnCd4 at its relaxed geometry.

a = 8.0737 Å, b = 8.0737 Å, c = 8.0737 Å
α = 90.00°, β = 90.00°, γ = 90.00°
Space group F-43m (No. 216)
One atom of each set of equivalent atoms:
Zr: 0.0000 0.0000 0.0000 x4
Zn: 0.2500 0.2500 0.2500 x4
Cd: 0.1255 0.1255 0.6255 x16

total magnetization	0.005	μB per atom
energy above the most stable polymorph in this dataset	169	meV per atom
calculated density	7652	kg/m³
energy relative to the elements	0.244	eV per atom
density of states at the Fermi level	18.6	states/eV/cell

***

# 8
## Zr3Cd (PBE-GGA)

Data for crystalline Zr3Cd at its relaxed geometry.

a = 5.5475 Å, b = 10.4523 Å, c = 6.2347 Å
α = 90.00°, β = 90.00°, γ = 90.00°
Space group Pnma (No. 62)
One atom of each set of equivalent atoms:
Zr: 0.0366 0.2500 0.1475 x4
Zr: 0.2375 0.5091 0.3752 x8
Cd: 0.0784 0.2500 0.6332 x4

total magnetization	0.000	μB per atom
calculated density	7094	kg/m³
energy relative to the elements	0.001	eV per atom
density of states at the Fermi level	22.5	states/eV/cell